Entry 1:
Material: In2OsO
Method: DFT, PBE-GGA
State: optimized geometry

Output
crystal system = tetragonal
final energy = -5.26 eV per atom
formation energy from raw total energies = 0.640 eV per formula unit

abc: 6.5354 6.5354 5.6728
angles: 54.83 54.83 90.00
Site moments in Bohr magnetons follow the coordinates.
Positions (direct):
Os 0.0000 0.0000 0.0000  1.04
Os 0.7500 0.2500 0.5000  1.04
O 0.5000 0.5000 0.0000  0.06
O 0.2500 0.7500 0.5000  0.06
In 0.5649 0.1250 0.2500  -0.02
In 0.1851 0.6250 0.2500  -0.02
In 0.3750 0.4351 0.7500  -0.02
In 0.8750 0.8149 0.7500  -0.02



Entry 2:
Material: InOsO3
Method: DFT, PBE-GGA
State: optimized geometry

Output
crystal system = cubic
final energy = -5.24 eV per atom
formation energy from raw total energies = 2.619 eV per formula unit

abc: 4.0907 4.0907 4.0907
angles: 90.00 90.00 90.00
Site moments in Bohr magnetons follow the coordinates.
Positions (direct):
Os 0.5000 0.5000 0.5000  3.69
O 0.0000 0.5000 0.0000  0.37
O 0.0000 0.0000 0.5000  0.25
O 0.5000 0.0000 0.0000  0.30
In 0.0000 0.0000 0.0000  0.00



Entry 3:
Material: InOs2O
Method: DFT, PBE-GGA
State: optimized geometry

Output
crystal system = cubic
final energy = -6.24 eV per atom
formation energy from raw total energies = 5.200 eV per formula unit
polymorph energy (0 for the lowest one) = 0.7165 eV per atom

abc: 4.3651 4.3651 4.3651
angles: 60.00 60.00 60.00
Positions (direct):
Os 0.2500 0.2500 0.2500
Os 0.7500 0.7500 0.7500
O 0.0000 0.0000 0.0000
In 0.5000 0.5000 0.5000



Entry 4:
Material: In3OsO
Method: DFT, PBE-GGA
State: optimized geometry

Output
crystal system = cubic
final energy = -4.35 eV per atom
formation energy from raw total energies = 2.667 eV per formula unit
polymorph energy (0 for the lowest one) = 0.2293 eV per atom

abc: 5.1561 5.1561 5.1561
angles: 90.00 90.00 90.00
Site moments in Bohr magnetons follow the coordinates.
Positions (direct):
Os 0.0000 0.0000 0.0000  -0.04
O 0.5000 0.5000 0.5000  -0.93
In 0.0000 0.5000 0.0000  -0.04
In 0.0000 0.0000 0.5000  -0.01
In 0.5000 0.0000 0.0000  -0.02



Entry 5:
Material: InPOsO2
Method: DFT, PBE-GGA
State: optimized geometry

Output
crystal system = tetragonal
final energy = -6.17 eV per atom
formation energy from raw total energies = -1.539 eV per formula unit
polymorph energy (0 for the lowest one) = 0.1458 eV per atom

abc: 3.7434 6.2499 3.7434
angles: 90.00 90.00 90.00
Site moments in Bohr magnetons follow the coordinates.
Positions (direct):
P 0.5000 0.5000 0.5000  0.30
Os 0.0000 0.0000 0.0000  0.04
O 0.0000 0.0000 0.5000  0.01
O 0.5000 0.0000 0.0000  0.01
In 0.0000 0.5000 0.0000  -0.01



Entry 6:
Material: InPOsO2
Method: DFT, PBE-GGA
State: optimized geometry

Output
crystal system = tetragonal
final energy = -5.06 eV per atom
formation energy from raw total energies = 3.998 eV per formula unit
polymorph energy (0 for the lowest one) = 1.2532 eV per atom

abc: 3.8597 3.8597 6.1385
angles: 90.00 90.00 90.00
Site moments in Bohr magnetons follow the coordinates.
Positions (direct):
P 0.0000 0.0000 0.5000  -0.03
Os 0.5000 0.5000 0.5000  2.24
O 0.0000 0.5000 0.0000  0.31
O 0.5000 0.0000 0.0000  0.31
In 0.0000 0.0000 0.0000  0.01